DFT (PBE+U) results for a geometry-optimized KTi2V2O7 structure.

Output
E_tot = -7.9625 eV/atom
DOS(E_F) = 1.13 states/eV/f.u.

Cell lengths 4.033, 16.904, 4.205 Å; angles 90.00, 90.00, 90.00 degrees
Space group Imm2 (No. 44)
Symmetry-distinct sites (fractional):
1 K 0.000 0.000 0.000
2 Ti 0.000 0.390 0.015
3 V 0.000 0.250 0.452
4 O 0.000 0.125 0.461
5 O 0.000 0.264 0.950
6 O 0.000 0.376 0.440
7 O 0.000 0.500 0.974